Record 1
A geometry-optimized CsLaGeI6 structure, computed with PBE.

The structure belongs to space group P312 (No. 149); the cell edges are 8.0798, 8.0798 and 8.5679 Å and the angles 90.00°, 90.00° and 120.00°. Symmetry generates all atoms from Cs at (0.0000, 0.0000, 0.0000), La at (0.3333, 0.6667, 0.5000), Ge at (0.6667, 0.3333, 0.5000) and I at (0.3811, 0.0136, 0.7090).

The formation energy without anion corrections is -10.21 eV/f.u. The crystal system is trigonal. Its total magnetization is 0.00 μB/cell. The calculation puts the density at 3.79 Mg/m³. As for the total energy: -3.323 eV per atom.

---

Record 2
A geometry-optimized Ag3Pd5Au3 structure, computed with PBE.

The structure belongs to space group P-62m (No. 189); the cell edges are 9.2628, 9.2628 and 2.7793 Å and the angles 90.00°, 90.00° and 120.00°. Symmetry generates all atoms from Ag at (0.0000, 0.1692, 0.0000), Pd at (0.0000, 0.6660, 0.0000), Pd at (0.3333, 0.6667, 0.0000) and Au at (0.0000, 0.4208, 0.5000).

The crystal system is hexagonal. Its total magnetization is 0.00 μB/cell. The calculation puts the density at 11.63 Mg/m³. As for the total energy: -3.719 eV per atom. For the formation enthalpy at 0 K, the calculation gives 332 kJ/mol of formula units. The calculation puts the energy above the most stable polymorph in this dataset at 0 meV/atom.

---

Record 3
A geometry-optimized Tl2TcBr structure, computed with PBE.

The structure belongs to space group I-4m2 (No. 119); the cell edges are 4.3019, 4.3019 and 11.7920 Å and the angles 90.00°, 90.00° and 90.00°. Symmetry generates all atoms from Tl at (0.0000, 0.0000, 0.0000), Tl at (0.0000, 0.5000, 0.2500), Tc at (0.0000, 0.0000, 0.5000) and Br at (0.0000, 0.5000, 0.7500).

The formation energy without anion corrections is 2.59 eV/f.u. The crystal system is tetragonal. Its total magnetization is 6.48 μB/cell. The calculation puts the density at 8.93 Mg/m³. As for the total energy: -3.544 eV per atom. The calculation puts the energy above the most stable polymorph in this dataset at 307 meV/atom.

---

Record 4
A geometry-optimized TaCoRe2 structure, computed with PBE.

The structure belongs to space group P4/mmm (No. 123); the cell edges are 2.6998, 2.6998 and 8.0217 Å and the angles 90.00°, 90.00° and 90.00°. Symmetry generates all atoms from Ta at (0.0000, 0.0000, 0.0000), Co at (0.0000, 0.0000, 0.5000) and Re at (0.5000, 0.5000, 0.2816).

The crystal system is tetragonal. Its total magnetization is 0.00 μB/cell. The calculation puts the density at 17.39 Mg/m³. As for the total energy: -10.916 eV per atom. For the formation enthalpy at 0 K, the calculation gives 18 kJ/mol of formula units. The calculation puts the energy above the most stable polymorph in this dataset at 75 meV/atom.

---

Record 5
A geometry-optimized Ac3Pm2Mg3 structure, computed with PBE.

The structure belongs to space group Immm (No. 71); the cell edges are 4.0148, 5.8419 and 23.7313 Å and the angles 90.00°, 90.00° and 90.00°. Symmetry generates all atoms from Ac at (0.0000, 0.0000, 0.0000), Ac at (0.0000, 0.5000, 0.1253), Pm at (0.0000, 0.0000, 0.2359), Mg at (0.0000, 0.0000, 0.5000) and Mg at (0.0000, 0.5000, 0.3770).

The crystal system is orthorhombic. Its total magnetization is 0.00 μB/cell. The calculation puts the density at 6.23 Mg/m³. As for the total energy: -3.381 eV per atom. For the formation enthalpy at 0 K, the calculation gives -42 kJ/mol of formula units.

---

Record 6
A geometry-optimized CeMgTiN3 structure, computed with PBE.

The structure belongs to space group P2_1/m (No. 11); the cell edges are 5.7015, 3.2934 and 8.4840 Å and the angles 90.00°, 108.57° and 90.00°. Symmetry generates all atoms from Ce at (0.1829, 0.2500, 0.2064), Mg at (0.2440, 0.7500, 0.5630), Ti at (0.3429, 0.2500, 0.8608), N at (0.0199, 0.2500, 0.6765), N at (0.2645, 0.7500, 0.9750) and N at (0.4992, 0.7500, 0.3233).

The formation energy without anion corrections is -7.57 eV/f.u. The crystal system is monoclinic. Its total magnetization is 0.00 μB/cell. The calculation puts the density at 5.59 Mg/m³. As for the total energy: -7.995 eV per atom.

---

Record 7
A geometry-optimized BaLaRh2 structure, computed with PBE.

The structure belongs to space group Amm2 (No. 38); the cell edges are 4.4259, 4.2124 and 11.9746 Å and the angles 90.00°, 90.00° and 90.00°. Symmetry generates all atoms from Ba at (0.0000, 0.0000, 0.0000), La at (0.5000, 0.0000, 0.7285), Rh at (0.0000, 0.0000, 0.2726) and Rh at (0.5000, 0.0000, 0.3916).

The crystal system is orthorhombic. Its total magnetization is 0.00 μB/cell. The calculation puts the density at 7.17 Mg/m³. As for the total energy: -5.734 eV per atom. For the formation enthalpy at 0 K, the calculation gives -134 kJ/mol of formula units.

---

Record 8
A geometry-optimized Sc2AlVIn structure, computed with PBE.

The structure belongs to space group P4/mmm (No. 123); the cell edges are 5.0720, 5.0720 and 4.8707 Å and the angles 90.00°, 90.00° and 90.00°. Symmetry generates all atoms from Sc at (0.0000, 0.5000, 0.0000), Al at (0.0000, 0.0000, 0.0000), V at (0.5000, 0.5000, 0.5000) and In at (0.0000, 0.0000, 0.5000).

The crystal system is tetragonal. Its total magnetization is 0.17 μB/cell. The calculation puts the density at 3.75 Mg/m³. As for the total energy: -4.709 eV per atom. For the formation enthalpy at 0 K, the calculation gives 455 kJ/mol of formula units.

---

Record 9
A geometry-optimized TlBr3F structure, computed with PBE.

The structure belongs to space group P1 (No. 1); the cell edges are 4.2853, 5.5099 and 7.7582 Å and the angles 108.92°, 90.60° and 90.29°. Symmetry generates all atoms from Tl at (0.0000, 0.0000, 0.0000), Br at (0.0007, 0.5146, 0.0250), Br at (0.5016, 0.0729, 0.5840), Br at (0.5116, 0.2514, 0.3428) and F at (0.4957, 0.9326, 0.8352).

The formation energy without anion corrections is -3.19 eV/f.u. The crystal system is triclinic. Its total magnetization is 0.00 μB/cell. The calculation puts the density at 4.44 Mg/m³. As for the total energy: -2.490 eV per atom. The calculation puts the energy above the most stable polymorph in this dataset at 5 meV/atom.

---

Record 10
A geometry-optimized TbPaPtAu structure, computed with PBE.

The structure belongs to space group F-43m (No. 216); the cell edges are 7.1299, 7.1299 and 7.1299 Å and the angles 90.00°, 90.00° and 90.00°. Symmetry generates all atoms from Tb at (0.0000, 0.0000, 0.0000), Pa at (0.0000, 0.0000, 0.5000), Pt at (0.2500, 0.2500, 0.2500) and Au at (0.2500, 0.2500, 0.7500).

The crystal system is cubic. Its total magnetization is 3.43 μB/cell. The calculation puts the density at 14.33 Mg/m³. As for the total energy: -6.543 eV per atom. For the formation enthalpy at 0 K, the calculation gives -263 kJ/mol of formula units.

---

Record 11
A geometry-optimized LiTbNd2 structure, computed with PBE.

The structure belongs to space group Fm-3m (No. 225); the cell edges are 7.9240, 7.9240 and 7.9240 Å and the angles 90.00°, 90.00° and 90.00°. Symmetry generates all atoms from Li at (0.0000, 0.0000, 0.0000), Tb at (0.0000, 0.0000, 0.5000) and Nd at (0.2500, 0.2500, 0.2500).

The crystal system is cubic. Its total magnetization is 0.00 μB/cell. The calculation puts the density at 6.07 Mg/m³. As for the total energy: -3.855 eV per atom. For the formation enthalpy at 0 K, the calculation gives 63 kJ/mol of formula units. The calculation puts the energy above the most stable polymorph in this dataset at 102 meV/atom.

---

Record 12
A geometry-optimized YIn2Cl structure, computed with PBE.

The structure belongs to space group Immm (No. 71); the cell edges are 3.3384, 4.5804 and 14.3049 Å and the angles 90.00°, 90.00° and 90.00°. Symmetry generates all atoms from Y at (0.0000, 0.0000, 0.0000), In at (0.0000, 0.5000, 0.2986) and Cl at (0.0000, 0.0000, 0.5000).

The formation energy without anion corrections is -2.64 eV/f.u. The crystal system is orthorhombic. Its total magnetization is 0.00 μB/cell. The calculation puts the density at 5.37 Mg/m³. As for the total energy: -4.106 eV per atom. The calculation puts the energy above the most stable polymorph in this dataset at 72 meV/atom.

---

Record 13
A geometry-optimized TiTcP3 structure, computed with PBE.

The structure belongs to space group Pm-3m (No. 221); the cell edges are 4.6307, 4.6307 and 4.6307 Å and the angles 90.00°, 90.00° and 90.00°. Symmetry generates all atoms from Ti at (0.0000, 0.0000, 0.0000), Tc at (0.5000, 0.5000, 0.5000) and P at (0.0000, 0.0000, 0.5000).

The crystal system is cubic. Its total magnetization is 2.94 μB/cell. The calculation puts the density at 3.99 Mg/m³. As for the total energy: -6.098 eV per atom. For the formation enthalpy at 0 K, the calculation gives 386 kJ/mol of formula units. The calculation puts the energy above the most stable polymorph in this dataset at 160 meV/atom.

---

Record 14
A geometry-optimized PmPr2NdSc structure, computed with PBE.

The structure belongs to space group Pmma (No. 51); the cell edges are 6.3664, 7.9733 and 6.6567 Å and the angles 90.00°, 90.00° and 90.00°. Symmetry generates all atoms from Pm at (0.2500, 0.0000, 0.0892), Pr at (0.2500, 0.2950, 0.7138), Nd at (0.2500, 0.5000, 0.1916) and Sc at (0.0000, 0.0000, 0.5000).

The crystal system is orthorhombic. Its total magnetization is 0.00 μB/cell. The calculation puts the density at 6.05 Mg/m³. As for the total energy: -4.898 eV per atom. For the formation enthalpy at 0 K, the calculation gives 89 kJ/mol of formula units.

---

Record 15
A geometry-optimized TaAl2Tc structure, computed with PBE.

The structure belongs to space group P-1 (No. 2); the cell edges are 2.7695, 5.0732 and 5.0996 Å and the angles 115.20°, 98.34° and 97.78°. Symmetry generates all atoms from Ta at (0.0000, 0.0000, 0.0000), Al at (0.5000, 0.0000, 0.5000), Al at (0.5000, 0.5000, 0.0000) and Tc at (0.0000, 0.5000, 0.5000).

The crystal system is triclinic. Its total magnetization is 0.00 μB/cell. The calculation puts the density at 8.83 Mg/m³. As for the total energy: -7.619 eV per atom. For the formation enthalpy at 0 K, the calculation gives -75 kJ/mol of formula units. The calculation puts the energy above the most stable polymorph in this dataset at 188 meV/atom.

---

Record 16
A geometry-optimized Na2MgCd2 structure, computed with PBE.

The structure belongs to space group P4/mbm (No. 127); the cell edges are 9.2288, 9.2288 and 3.1304 Å and the angles 90.00°, 90.00° and 90.00°. Symmetry generates all atoms from Na at (0.1252, 0.3748, 0.0000), Mg at (0.0000, 0.0000, 0.0000) and Cd at (0.1728, 0.6728, 0.5000).

The crystal system is tetragonal. Its total magnetization is 0.00 μB/cell. The calculation puts the density at 3.68 Mg/m³. As for the total energy: -1.148 eV per atom. For the formation enthalpy at 0 K, the calculation gives 31 kJ/mol of formula units. The calculation puts the energy above the most stable polymorph in this dataset at 115 meV/atom.

---

Record 17
A geometry-optimized TbDy2Y4 structure, computed with PBE.

The structure belongs to space group C2/m (No. 12); the cell edges are 16.7335, 3.5497 and 8.7372 Å and the angles 90.00°, 119.64° and 90.00°. Symmetry generates all atoms from Tb at (0.0000, 0.0000, 0.0000), Dy at (0.0699, 0.0000, 0.4299), Y at (0.1409, 0.5000, 0.8348) and Y at (0.2043, 0.5000, 0.2935).

The crystal system is monoclinic. Its total magnetization is 0.00 μB/cell. The calculation puts the density at 6.18 Mg/m³. As for the total energy: -5.638 eV per atom. For the formation enthalpy at 0 K, the calculation gives 22 kJ/mol of formula units. The calculation puts the energy above the most stable polymorph in this dataset at 0 meV/atom.

---

Record 18
A geometry-optimized Ac3As2O structure, computed with PBE.

The structure belongs to space group C2/c (No. 15); the cell edges are 13.5508, 6.3250 and 8.6434 Å and the angles 90.00°, 108.56° and 90.00°. Symmetry generates all atoms from Ac at (0.0000, 0.0489, 0.2500), Ac at (0.1520, 0.5003, 0.0761), As at (0.1741, 0.9997, 0.0871) and O at (0.0000, 0.4340, 0.2500).

The formation energy without anion corrections is -10.59 eV/f.u. The crystal system is monoclinic. Its total magnetization is 0.00 μB/cell. The calculation puts the density at 8.01 Mg/m³. As for the total energy: -6.195 eV per atom.

---

Record 19
A geometry-optimized IrRh5S8 structure, computed with PBE.

The structure belongs to space group F-43m (No. 216); the cell edges are 9.8596, 9.8596 and 9.8596 Å and the angles 90.00°, 90.00° and 90.00°. Symmetry generates all atoms from Ir at (0.0000, 0.0000, 0.0000), Rh at (0.1246, 0.1246, 0.3754), Rh at (0.2500, 0.2500, 0.7500), S at (0.1167, 0.1167, 0.6167) and S at (0.1324, 0.1324, 0.1324).

The formation energy without anion corrections is -5.42 eV/f.u. The crystal system is cubic. Its total magnetization is 0.00 μB/cell. The calculation puts the density at 6.68 Mg/m³. As for the total energy: -6.004 eV per atom.

---

Record 20
A geometry-optimized Ir3PdN structure, computed with PBE.

The structure belongs to space group Pm-3m (No. 221); the cell edges are 4.8061, 4.8061 and 4.8061 Å and the angles 90.00°, 90.00° and 90.00°. Symmetry generates all atoms from Ir at (0.0000, 0.0000, 0.5000), Pd at (0.0000, 0.0000, 0.0000) and N at (0.5000, 0.5000, 0.5000).

The formation energy without anion corrections is 16.48 eV/f.u. The crystal system is cubic. Its total magnetization is 6.95 μB/cell. The calculation puts the density at 10.43 Mg/m³. As for the total energy: -4.725 eV per atom.